This record from the Alexandria database describes MgRh3 at its PBEsol-relaxed geometry. The functional is meta-GGA SCAN.

Cell lengths 8.9795, 2.7369, 4.6461 Å; angles 90.00, 100.14, 90.00 degrees
Space group C2/m (No. 12)
Unique sites:
1 Mg 0.0000 0.0000 0.0000 (multiplicity 2)
2 Rh 0.0000 0.5000 0.5000 (multiplicity 2)
3 Rh 0.2440 0.0000 0.7405 (multiplicity 4)

Results
* energy relative to the elements: -23.9 kJ/mol of atoms
* spin magnetization: 0.0 Bohr magnetons per cell

---

This record from the Alexandria database describes ZrTi2FeRu at its PBEsol-relaxed geometry. The functional is meta-GGA SCAN.

Cell lengths 4.2894, 4.2894, 4.5991 Å; angles 90.00, 90.00, 90.00 degrees
Space group P4/mmm (No. 123)
Unique sites:
1 Zr 0.0000 0.0000 0.0000 (multiplicity 1)
2 Ti 0.0000 0.5000 0.5000 (multiplicity 2)
3 Fe 0.5000 0.5000 0.5000 (multiplicity 1)
4 Ru 0.5000 0.5000 0.0000 (multiplicity 1)

Results
* energy relative to the elements: 25.1 kJ/mol of atoms
* spin magnetization: 0.0 Bohr magnetons per cell

---

This record from the Alexandria database describes CaAl2Cd at its PBEsol-relaxed geometry. The functional is meta-GGA SCAN.

Cell lengths 6.9167, 6.9167, 6.9167 Å; angles 90.00, 90.00, 90.00 degrees
Space group F-43m (No. 216)
Unique sites:
1 Ca 0.0000 0.0000 0.0000 (multiplicity 4)
2 Al 0.0000 0.0000 0.5000 (multiplicity 4)
3 Al 0.2500 0.2500 0.7500 (multiplicity 4)
4 Cd 0.2500 0.2500 0.2500 (multiplicity 4)

Results
* energy relative to the elements: -8.6 kJ/mol of atoms
* spin magnetization: 0.0 Bohr magnetons per cell